{"formula": "Sm6Bi2SbAs3", "functional": "PBE", "state": "relaxed", "e_form_raw_ev_per_atom": -1.25, "total_magnetization_mub_per_fu": 0.00, "sg": "C2/m (12)", "energy_ev_per_atom": -5.76, "cell": [[9.557, -2.173, 0.000], [9.557, 2.173, 0.000], [-2.157, 0.000, 8.517]], "species": ["Sm", "Sm", "Sm", "Sm", "Sm", "Sm", "Bi", "Bi", "Sb", "As", "As", "As"], "fractional_positions": [[0.005, 0.005, 0.242], [0.330, 0.330, 0.430], [0.339, 0.339, 0.904], [0.661, 0.661, 0.096], [0.670, 0.670, 0.570], [0.995, 0.995, 0.758], [0.167, 0.167, 0.834], [0.833, 0.833, 0.166], [0.500, 0.500, 0.500], [0.167, 0.167, 0.334], [0.500, 0.500, 0.000], [0.833, 0.833, 0.666]]}